Below is a relaxed Ni2F3 crystal, with properties calculated at the GGA+U level.

Cell and atoms, written as CIF:
```
data_Ni2F3
_cell_length_a 5.3163
_cell_length_b 5.3163
_cell_length_c 14.6321
_cell_angle_alpha 90.00
_cell_angle_beta 90.00
_cell_angle_gamma 120.00
_space_group_name_H-M_alt 'R -3 c'
_space_group_IT_number 167
_space_group_name_Hall '-R 3 2"c'
loop_
_atom_site_label
_atom_site_type_symbol
_atom_site_fract_x
_atom_site_fract_y
_atom_site_fract_z
Ni1 Ni 0.0000 0.0000 0.1522
F1 F 0.0000 0.3104 0.2500
```

Values from the calculation:
density	4.851	g/cm³
magnetization	19.334	μB/cell
DFT total energy	-3.652	eV per atom